# Li24Mn5Cr7O36

Crystalline Li24Mn5Cr7O36 at its relaxed geometry (PBE with a Hubbard U, Alexandria via LeMat-Bulk).

Unit cell a=5.0087 b=9.7340 c=13.3095 alpha=96.84 beta=100.12 gamma=94.55
Closest atoms and distances in Å follow each position.
Sites, in units of the cell vectors:
O: 0.8156 0.8633 0.4790  1 Mn 1.92, 1 Cr 1.98, 2 Li 2.05
O: 0.2634 0.8633 0.3818  1 Mn 1.95, 1 Cr 1.97, 4 Li 2.06-2.14
O: 0.4789 0.8627 0.8109  1 Mn 1.92, 1 Cr 1.98, 3 Li 2.05-2.12
O: 0.9921 0.3613 0.4280  1 Cr 1.90, 1 Mn 1.95, 1 Li 2.06
O: 0.5267 0.1392 0.1904  2 Mn 1.94, 2 Li 2.07
O: 0.3388 0.3643 0.0980  1 Mn 1.92, 1 Cr 1.98, 3 Li 2.06-2.11
O: 0.2642 0.3632 0.8823  2 Cr 1.96-1.97, 4 Li 2.05-2.14
O: 0.5212 0.6382 0.6919  1 Cr 1.90, 1 Mn 1.95, 2 Li 2.07-2.12
O: 0.8572 0.6389 0.3585  1 Cr 1.90, 1 Mn 1.95, 2 Li 2.07-2.10
O: 0.9975 0.6359 0.5695  1 Mn 1.92, 1 Cr 1.99, 2 Li 2.05-2.07
O: 0.5952 0.3641 0.5485  1 Mn 1.94, 1 Cr 1.98, 4 Li 2.06-2.12
O: 0.8479 0.1364 0.8574  2 Cr 1.88-2.01, 1 Li 2.05
O: 0.6635 0.1365 0.4025  1 Mn 1.92, 1 Cr 1.99, 3 Li 2.06-2.14
O: 0.6611 0.6358 0.9022  1 Mn 1.93, 1 Cr 1.98, 3 Li 2.06-2.15
O: 0.0678 0.6355 0.7846  1 Mn 1.95, 1 Cr 1.97, 4 Li 2.05-2.13
O: 0.8180 0.3626 0.9767  2 Cr 1.88-2.01, 2 Li 2.06-2.10
O: 0.7371 0.6373 0.1183  2 Cr 1.96-1.97, 4 Li 2.07-2.14
O: 0.3351 0.6378 0.2352  2 Cr 1.88-2.01, 2 Li 2.06-2.09
O: 0.4035 0.6359 0.4517  1 Mn 1.94, 1 Cr 1.98, 4 Li 2.05-2.14
O: 0.9304 0.3644 0.2148  2 Mn 1.94-1.95, 4 Li 2.06-2.13
O: 0.5977 0.8647 0.0486  2 Cr 1.97, 4 Li 2.06-2.15
O: 0.9945 0.8609 0.9281  1 Cr 1.90, 1 Mn 1.95, 2 Li 2.07-2.12
O: 0.6674 0.8635 0.2655  2 Cr 1.88-2.00, 2 Li 2.06-2.10
O: 0.4750 0.3620 0.3099  2 Mn 1.94, 3 Li 2.07-2.17
O: 0.1813 0.6377 0.0225  2 Cr 1.88-2.00, 1 Li 2.06
O: 0.0077 0.1396 0.0726  1 Cr 1.90, 1 Mn 1.96, 2 Li 2.07-2.12
O: 0.1881 0.1391 0.5250  1 Cr 1.89, 1 Mn 1.95, 2 Li 2.07-2.11
O: 0.6623 0.3599 0.7619  1 Cr 1.90, 1 Mn 1.95, 2 Li 2.07-2.11
O: 0.7340 0.1361 0.6176  1 Mn 1.94, 1 Cr 1.97, 4 Li 2.05-2.14
O: 0.4022 0.1354 0.9517  2 Cr 1.97, 4 Li 2.06-2.13
O: 0.9291 0.8633 0.7152  1 Mn 1.94, 1 Cr 1.97, 4 Li 2.05-2.14
O: 0.3289 0.8608 0.5954  1 Cr 1.90, 1 Mn 1.94, 2 Li 2.07-2.12
O: 0.0714 0.1367 0.2858  2 Mn 1.94-1.95, 4 Li 2.07-2.14
O: 0.1458 0.3633 0.6442  1 Mn 1.92, 1 Cr 1.99, 3 Li 2.05-2.15
O: 0.1513 0.8639 0.1432  2 Cr 1.88-2.01, 2 Li 2.06-2.10
O: 0.3272 0.1360 0.7355  1 Mn 1.93, 1 Cr 1.98, 2 Li 2.05-2.06
Li: 0.6719 0.7502 0.5826  6 O 2.05-2.14
Li: 0.0023 0.7507 0.2497  6 O 2.09-2.13
Li: 0.3858 0.0036 0.2825  6 O 2.06-2.25
Li: 0.7139 0.5022 0.4499  6 O 2.06-2.26
Li: 0.1669 0.5004 0.3336  6 O 2.05-2.20
Li: 0.6117 0.4963 0.2154  5 O 2.06-2.13
Li: 0.6178 0.0010 0.7218  6 O 2.05-2.25
Li: 0.3782 0.4989 0.7813  6 O 2.07-2.21
Li: 0.6986 0.9955 0.9422  5 O 2.05-2.12
Li: 0.9554 0.5024 0.8878  6 O 2.06-2.27
Li: 0.5020 0.9996 0.4997  6 O 2.05-2.20
Li: 0.0433 0.0000 0.6141  6 O 2.07-2.18
Li: 0.2961 0.0023 0.0549  6 O 2.06-2.29
Li: 0.9490 0.9981 0.3868  6 O 2.05-2.25
Li: 0.2859 0.5001 0.5548  6 O 2.05-2.26
Li: 0.3354 0.7493 0.9153  6 O 2.06-2.15
Li: 0.5020 0.5003 0.9991  6 O 2.05-2.21
Li: 0.0476 0.4998 0.1131  6 O 2.06-2.21
Li: 0.0026 0.2496 0.7491  6 O 2.06-2.14
Li: 0.1634 0.0006 0.8327  6 O 2.05-2.19
Li: 0.6648 0.2508 0.0836  6 O 2.07-2.13
Li: 0.8388 0.0004 0.1657  6 O 2.06-2.22
Li: 0.3372 0.2497 0.4162  6 O 2.06-2.13
Li: 0.8371 0.4988 0.6663  6 O 2.05-2.21
Cr: 0.5585 0.2478 0.8587  6 O 1.88-2.01
Cr: 0.8941 0.2499 0.5261  6 O 1.89-1.99
Cr: 0.4385 0.7508 0.1404  6 O 1.88-2.00
Cr: 0.8919 0.7491 0.0251  6 O 1.88-2.01
Cr: 0.1070 0.2514 0.9749  6 O 1.88-2.01
Cr: 0.2274 0.7495 0.6930  6 O 1.90-1.99
Cr: 0.5656 0.7512 0.3608  6 O 1.88-2.01
Mn: 0.7756 0.2488 0.3050  6 O 1.92-1.95
Mn: 0.7751 0.7494 0.8054  6 O 1.92-1.95
Mn: 0.4419 0.2500 0.6390  6 O 1.92-1.95
Mn: 0.1114 0.7497 0.4730  6 O 1.92-1.95
Mn: 0.2262 0.2521 0.1955  6 O 1.92-1.96

Computed properties:
The total magnetization comes out at 29.0 μB per formula unit. Its polymorph energy (0 for the lowest one) is 0.0 meV/atom. The total DFT energy (no corrections) comes out at -448.535 eV for the cell shown.